Computed, not measured: crystalline BeSiHg at its relaxed geometry at the PBE level of DFT.

abc: 3.442 4.018 9.323
angles: 80.44 79.82 64.66
Space group P1 (No. 1)
Inequivalent atoms, fractional coordinates:
Be: 0.000 0.000 0.000 [1 per cell]
Be: 0.240 0.440 0.083 [1 per cell]
Si: 0.502 0.839 0.164 [1 per cell]
Si: 0.738 0.601 0.919 [1 per cell]
Hg: 0.544 0.495 0.423 [1 per cell]
Hg: 0.695 0.941 0.659 [1 per cell]

Values from the calculation:
As for the total energy: -17.4 eV per cell.